Record 1
8
Lattice="6.304 0.000 0.000 -3.152 5.460 0.000 0.000 0.000 5.214" Properties=species:S:1:pos:R:3 comment="GGA-PBE Zr6InSn, relaxed" magmom_total_mub_per_atom=0.00 n_ef_per_ev_cell=3.92 ef_kj_per_mol_atoms=-28.97 pbc="T T T"
Zr -1.572 2.732 0.000
Zr 1.564 0.903 2.607
Zr 1.572 2.732 0.000
Zr 0.000 5.455 0.000
Zr 4.740 0.903 2.607
Zr 3.152 3.653 2.607
In 0.000 3.640 2.607
Sn 0.000 0.000 0.000

Record 2
18
Lattice="6.498 0.000 0.000 0.000 7.734 0.000 -5.524 0.000 10.431" Properties=species:S:1:pos:R:3 comment="GGA-PBE Tm6SbTe2, relaxed" magmom_total_mub_per_atom=0.00 formation_energy_uncorrected_mev_per_atom=-670 n_ef_per_ev_cell=15.16 pbc="T T T"
Tm -1.968 1.635 4.643
Tm -4.730 2.232 9.858
Tm -0.512 5.038 4.563
Tm -3.274 6.563 9.778
Tm 1.265 0.226 2.350
Tm -1.497 3.641 7.566
Tm 2.471 4.093 2.865
Tm -0.291 7.508 8.081
Tm 4.248 1.171 0.653
Tm 1.487 2.696 5.868
Tm 5.704 5.502 0.572
Tm 2.943 6.099 5.788
Sb 0.487 0.000 5.215
Sb 3.249 3.867 0.000
Te -3.078 0.959 7.550
Te -0.316 2.908 2.335
Te 1.290 4.826 8.096
Te 4.052 6.775 2.881

Record 3
5
Lattice="4.319 0.000 0.000 0.000 4.319 0.000 0.000 0.000 4.319" Properties=species:S:1:pos:R:3 comment="GGA-PBE HfTaF3, relaxed" magmom_total_mub_per_atom=0.99 formation_energy_uncorrected_mev_per_atom=-1072 n_ef_per_ev_cell=2.98 de_polymorph_kj_per_mol_fu=0 pbc="T T T"
Hf 0.000 0.000 0.000
Ta 2.160 2.160 2.160
F 0.000 0.000 2.160
F 0.000 2.160 0.000
F 2.160 0.000 0.000

Record 4
11
Lattice="7.125 -2.008 0.000 7.125 2.008 0.000 -1.900 0.000 6.044" Properties=species:S:1:pos:R:3 comment="GGA-PBE HfZn2Pt8, relaxed" magmom_total_mub_per_atom=0.00 n_ef_per_ev_cell=9.24 ef_kj_per_mol_atoms=-55.34 pbc="T T T"
Hf 0.000 0.000 0.000
Zn 3.250 0.000 2.170
Zn 9.099 0.000 3.874
Pt 0.512 0.000 2.770
Pt 0.846 0.000 5.592
Pt 3.609 0.000 4.895
Pt 5.940 0.000 1.671
Pt 6.409 0.000 4.374
Pt 8.740 0.000 1.150
Pt 11.503 0.000 0.453
Pt 11.837 0.000 3.274